DFT (GGA-PBE) results for an optimized crystal structure of Ba2CdSbPt6.

Lattice parameters (Å, degrees): 7.059 7.059 9.073 128.13 128.13 47.51
Sites, in units of the cell vectors:
Ba  0.241  0.241  0.193
Ba  0.759  0.759  0.807
Cd  0.500  0.500  0.000
Sb  0.000  0.000  0.500
Pt  0.235  0.714  0.712
Pt  0.252  0.252  0.600
Pt  0.286  0.765  0.288
Pt  0.714  0.235  0.712
Pt  0.748  0.748  0.400
Pt  0.765  0.286  0.288

Calculated values
SG: C2/m (12)
energy relative to the elements, uncorrected: -0.566 eV/atom


DFT (GGA-PBE) results for an optimized crystal structure of La2Pr6Y3Tl.

Lattice parameters (Å, degrees): 6.289 6.289 12.091 94.99 94.99 120.07
Sites, in units of the cell vectors:
La  0.167  0.833  0.000
La  0.833  0.167  0.000
Pr  0.091  0.417  0.748
Pr  0.259  0.259  0.252
Pr  0.417  0.091  0.748
Pr  0.583  0.909  0.252
Pr  0.741  0.741  0.748
Pr  0.909  0.583  0.252
Y  0.000  0.000  0.500
Y  0.333  0.667  0.500
Y  0.667  0.333  0.500
Tl  0.500  0.500  0.000

Calculated values
SG: C2/m (12)
E_form: -39.1 meV/atom


DFT (GGA-PBE) results for an optimized crystal structure of MnGa3Pd6.

Lattice parameters (Å, degrees): 8.244 4.076 9.070 90.00 97.92 90.00
Sites, in units of the cell vectors:
Mn  0.052  0.250  0.395
Mn  0.948  0.750  0.605
Ga  0.226  0.250  0.039
Ga  0.356  0.750  0.810
Ga  0.453  0.250  0.606
Ga  0.547  0.750  0.394
Ga  0.644  0.250  0.190
Ga  0.774  0.750  0.961
Pd  0.079  0.750  0.905
Pd  0.141  0.750  0.218
Pd  0.172  0.250  0.708
Pd  0.264  0.750  0.517
Pd  0.371  0.250  0.315
Pd  0.444  0.750  0.096
Pd  0.556  0.250  0.904
Pd  0.629  0.750  0.685
Pd  0.736  0.250  0.483
Pd  0.828  0.750  0.292
Pd  0.859  0.250  0.782
Pd  0.921  0.250  0.095

Calculated values
SG: P2_1/m (11)
offset from the most stable computed form: 0.0 kJ/mol of atoms
E_form: -503.4 meV/atom


DFT (GGA-PBE) results for an optimized crystal structure of La2TcCl.

Lattice parameters (Å, degrees): 4.878 3.661 11.355 90.00 90.00 90.00
Sites, in units of the cell vectors:
La  0.000  0.000  0.000
La  0.000  0.500  0.500
La  0.500  0.000  0.271
La  0.500  0.500  0.771
Tc  0.500  0.000  0.479
Tc  0.500  0.500  0.979
Cl  0.000  0.000  0.740
Cl  0.000  0.500  0.240

Calculated values
SG: Amm2 (38)
offset from the most stable computed form: 9.1 kJ/mol of atoms
energy relative to the elements, uncorrected: -0.680 eV/atom


Calculated values (eV/atom) of E for the records, taken in order: -5.08 -5.06 -5.44 -6.20.